An optimized crystal structure of RbAgW2, computed with PBE-GGA.

CIF file:
```
data_RbAgW2
_symmetry_space_group_name_H-M 'I -4 2 d'
_symmetry_Int_Tables_number 122
_symmetry_space_group_name_Hall 'I -4 2bw'
_cell_length_a 4.751
_cell_length_b 4.751
_cell_length_c 20.679
_cell_angle_alpha 90.00
_cell_angle_beta 90.00
_cell_angle_gamma 90.00
loop_
_atom_site_label
_atom_site_type_symbol
_atom_site_fract_x
_atom_site_fract_y
_atom_site_fract_z
Rb1 Rb 0.000 0.000 0.000
Ag1 Ag 0.000 0.000 0.500
W1 W 0.032 0.750 0.625
```

Computed properties:
magnetization = 0.000 Bohr magnetons per cell
energy of formation from the pure elements = 1.969 eV/atom


An optimized crystal structure of Pr3UN4, computed with PBE-GGA.

CIF file:
```
data_Pr3UN4
_symmetry_space_group_name_H-M 'P 1 2/c 1'
_symmetry_Int_Tables_number 13
_cell_length_a 6.271
_cell_length_b 7.226
_cell_length_c 6.219
_cell_angle_alpha 90.00
_cell_angle_beta 109.45
_cell_angle_gamma 90.00
loop_
_symmetry_equiv_pos_as_xyz
'x,y,z'
'-x,-y,-z'
'-x,y,-z+1/2'
'x,-y,z+1/2'
loop_
_atom_site_label
_atom_site_type_symbol
_atom_site_fract_x
_atom_site_fract_y
_atom_site_fract_z
Pr1 Pr 0.000 0.123 0.250
Pr2 Pr 0.500 0.124 0.750
Pr3 Pr 0.500 0.376 0.250
U1 U 0.000 0.375 0.750
N1 N 0.210 0.394 0.503
N2 N 0.224 0.155 0.969
```

Computed properties:
formation energy without anion corrections = -1.379 eV per atom
magnetization = 0.000 Bohr magnetons per cell


An optimized crystal structure of MnFe4Ir, computed with PBE-GGA.

CIF file:
```
data_MnFe4Ir
_symmetry_space_group_name_H-M 'F -4 3 m'
_symmetry_Int_Tables_number 216
_symmetry_space_group_name_Hall 'F -4 2 3'
_cell_length_a 6.643
_cell_length_b 6.643
_cell_length_c 6.643
_cell_angle_alpha 90.00
_cell_angle_beta 90.00
_cell_angle_gamma 90.00
loop_
_atom_site_label
_atom_site_type_symbol
_atom_site_fract_x
_atom_site_fract_y
_atom_site_fract_z
Mn1 Mn 0.000 0.000 0.000
Fe1 Fe 0.125 0.125 0.625
Ir1 Ir 0.250 0.250 0.250
```

Computed properties:
magnetization = 21.742 Bohr magnetons per cell
energy of formation from the pure elements = 0.004 eV/atom


An optimized crystal structure of Ta3NbH, computed with PBE-GGA.

CIF file:
```
data_Ta3NbH
_symmetry_space_group_name_H-M 'P m -3 m'
_symmetry_Int_Tables_number 221
_symmetry_space_group_name_Hall '-P 4 2 3'
_cell_length_a 4.907
_cell_length_b 4.907
_cell_length_c 4.907
_cell_angle_alpha 90.00
_cell_angle_beta 90.00
_cell_angle_gamma 90.00
loop_
_atom_site_label
_atom_site_type_symbol
_atom_site_fract_x
_atom_site_fract_y
_atom_site_fract_z
Ta1 Ta 0.000 0.000 0.500
Nb1 Nb 0.000 0.000 0.000
H1 H 0.500 0.500 0.500
```

Computed properties:
magnetization = 0.000 Bohr magnetons per cell


no.,distance to the lowest polymorph of the same formula (meV per atom),mass density (Mg/m³),VASP energy (eV/atom)
1,0,7.98,-5.46
2,0,8.96,-8.74
3,0,10.66,-8.64
4,2466,8.95,-7.42